No. 1
# BeFeSiSn PBE-GGA optimized geometry
# Total magnetization, μB/f.u.: 1.507
data_BeFeSiSn
_symmetry_space_group_name_H-M 'F -4 3 m'
_symmetry_Int_Tables_number 216
_symmetry_space_group_name_Hall 'F -4 2 3'
_cell_length_a 6.1403
_cell_length_b 6.1403
_cell_length_c 6.1403
_cell_angle_alpha 90.00
_cell_angle_beta 90.00
_cell_angle_gamma 90.00
loop_
_atom_site_label
_atom_site_type_symbol
_atom_site_fract_x
_atom_site_fract_y
_atom_site_fract_z
_atom_site_occupancy
Be1 Be 0.0000 0.0000 0.0000 1
Fe1 Fe 0.2500 0.2500 0.7500 1
Si1 Si 0.0000 0.0000 0.5000 1
Sn1 Sn 0.2500 0.2500 0.2500 1

***

No. 2
# BeFeSiSn PBE-GGA optimized geometry
# Total magnetization, μB/f.u.: 0.002
data_BeFeSiSn
_symmetry_space_group_name_H-M 'F -4 3 m'
_symmetry_Int_Tables_number 216
_symmetry_space_group_name_Hall 'F -4 2 3'
_cell_length_a 6.0146
_cell_length_b 6.0146
_cell_length_c 6.0146
_cell_angle_alpha 90.00
_cell_angle_beta 90.00
_cell_angle_gamma 90.00
loop_
_atom_site_label
_atom_site_type_symbol
_atom_site_fract_x
_atom_site_fract_y
_atom_site_fract_z
_atom_site_occupancy
Be1 Be 0.0000 0.0000 0.0000 1
Fe1 Fe 0.0000 0.0000 0.5000 1
Si1 Si 0.2500 0.2500 0.2500 1
Sn1 Sn 0.2500 0.2500 0.7500 1

***

| no. | E above lowest polymorph (meV/atom) | VASP energy (eV/cell) |
| --- | --- | --- |
| 1 | 182 | -75.47 |
| 2 | 0 | -78.38 |